(1)
Crystalline Pm3PuHg5 at its relaxed geometry, computed with GGA-PBE.

- Space-group type: P6_3/mcm (193)
- V: 242.0 Å³/f.u.
- Energy: -66.77 eV for the cell shown
- Energy of formation from the pure elements: -8.4 kcal/mol of atoms
- M_tot: 6.5 μB per formula unit

POSCAR file:
```
Pm3PuHg5
1.0
9.3426 0.0000 0.0000
-4.6713 8.0909 0.0000
0.0000 0.0000 6.4038
Pm Pu Hg
6 2 10
Direct
0.0000 0.3594 0.2500 Pm
0.0000 0.6406 0.7500 Pm
0.3594 0.0000 0.2500 Pm
0.3594 0.3594 0.7500 Pm
0.6406 0.0000 0.7500 Pm
0.6406 0.6406 0.2500 Pm
0.0000 0.0000 0.0000 Pu
0.0000 0.0000 0.5000 Pu
0.0000 0.3083 0.7500 Hg
0.0000 0.6917 0.2500 Hg
0.3083 0.0000 0.7500 Hg
0.3083 0.3083 0.2500 Hg
0.3333 0.6667 0.0000 Hg
0.3333 0.6667 0.5000 Hg
0.6667 0.3333 0.0000 Hg
0.6667 0.3333 0.5000 Hg
0.6917 0.0000 0.2500 Hg
0.6917 0.6917 0.7500 Hg
```

(2)
Crystalline Dy3NbCo8 at its relaxed geometry, computed with GGA-PBE.

- Space-group type: R3m (160)
- V: 174.7 Å³/f.u.
- Energy: -82.47 eV for the cell shown
- Energy of formation from the pure elements: -3.4 kcal/mol of atoms
- M_tot: 5.7 μB per formula unit

POSCAR file:
```
Dy3NbCo8
1.0
2.4891 1.4371 8.1408
-2.4891 1.4371 8.1408
0.0000 -2.8741 8.1408
Dy Nb Co
3 1 8
Direct
0.0000 0.0000 0.0000 Dy
0.1263 0.1263 0.1263 Dy
0.5020 0.5020 0.5020 Dy
0.6245 0.6245 0.6245 Nb
0.0554 0.5624 0.5624 Co
0.0635 0.0635 0.5724 Co
0.0635 0.5724 0.0635 Co
0.3129 0.3129 0.3129 Co
0.5624 0.0554 0.5624 Co
0.5624 0.5624 0.0554 Co
0.5724 0.0635 0.0635 Co
0.8133 0.8133 0.8133 Co
```

(3)
Crystalline HoTmGePt at its relaxed geometry, computed with GGA-PBE.

- Space-group type: Amm2 (38)
- V: 88.6 Å³/f.u.
- Energy: -24.07 eV for the cell shown
- Energy of formation from the pure elements: -25.1 kcal/mol of atoms
- M_tot: 0.0 μB per formula unit

POSCAR file:
```
HoTmGePt
1.0
4.2558 0.0000 0.0000
0.0000 1.9364 5.3782
0.0000 -1.9364 5.3782
Ho Tm Ge Pt
1 1 1 1
Direct
0.0000 0.0000 0.0000 Ho
0.5000 0.2802 0.2802 Tm
0.0000 0.7225 0.7225 Ge
0.5000 0.5553 0.5553 Pt
```

(4)
Crystalline Na2Sr2AlGe4 at its relaxed geometry, computed with GGA-PBE.

- Space-group type: I4/mmm (139)
- V: 221.9 Å³/f.u.
- Energy: -29.80 eV for the cell shown
- Energy of formation from the pure elements: -4.1 kcal/mol of atoms
- M_tot: 0.0 μB per formula unit

POSCAR file:
```
Na2Sr2AlGe4
1.0
-3.3803 3.3803 4.8541
3.3803 -3.3803 4.8541
3.3803 3.3803 -4.8541
Na Sr Al Ge
2 2 1 4
Direct
0.2059 0.2059 0.0000 Na
0.7941 0.7941 0.0000 Na
0.2500 0.7500 0.5000 Sr
0.7500 0.2500 0.5000 Sr
0.5000 0.5000 0.0000 Al
0.2284 0.2284 0.4568 Ge
0.2284 0.7716 0.0000 Ge
0.7716 0.2284 0.0000 Ge
0.7716 0.7716 0.5432 Ge
```

(5)
Crystalline Cs3Sn6Au5 at its relaxed geometry, computed with GGA-PBE.

- Space-group type: Pmmn (59)
- V: 483.4 Å³/f.u.
- Energy: -92.33 eV for the cell shown
- Energy of formation from the pure elements: -5.3 kcal/mol of atoms
- M_tot: 0.0 μB per formula unit

POSCAR file:
```
Cs3Sn6Au5
1.0
4.8172 0.0000 0.0000
0.0000 14.3211 0.0000
0.0000 0.0000 14.0136
Cs Sn Au
6 12 10
Direct
0.2500 0.0859 0.2439 Cs
0.2500 0.4141 0.2439 Cs
0.2500 0.7500 0.2630 Cs
0.7500 0.2500 0.7370 Cs
0.7500 0.5859 0.7561 Cs
0.7500 0.9141 0.7561 Cs
0.2500 0.0530 0.5702 Sn
0.2500 0.2500 0.4513 Sn
0.2500 0.2500 0.9815 Sn
0.2500 0.4470 0.5702 Sn
0.2500 0.5779 0.0098 Sn
0.2500 0.9221 0.0098 Sn
0.7500 0.0779 0.9902 Sn
0.7500 0.4221 0.9902 Sn
0.7500 0.5530 0.4298 Sn
0.7500 0.7500 0.0185 Sn
0.7500 0.7500 0.5487 Sn
0.7500 0.9470 0.4298 Sn
0.2500 0.0796 0.8890 Au
0.2500 0.4204 0.8890 Au
0.2500 0.6380 0.5025 Au
0.2500 0.7500 0.9233 Au
0.2500 0.8620 0.5025 Au
0.7500 0.1380 0.4975 Au
0.7500 0.2500 0.0767 Au
0.7500 0.3620 0.4975 Au
0.7500 0.5796 0.1110 Au
0.7500 0.9204 0.1110 Au
```

(6)
Crystalline ZnRuBr2 at its relaxed geometry, computed with GGA-PBE.

- Formation energy without anion corrections: 209.0 meV per atom
- Space-group type: Cmm2 (35)
- V: 98.2 Å³/f.u.
- Energy: -13.06 eV for the cell shown
- M_tot: 1.7 μB per formula unit

POSCAR file:
```
ZnRuBr2
1.0
1.7018 -3.1021 0.0000
1.7018 3.1021 0.0000
0.0000 0.0000 9.2982
Zn Ru Br
1 1 2
Direct
0.0000 0.0000 0.0000 Zn
0.5000 0.5000 0.2162 Ru
0.0000 0.0000 0.4067 Br
0.5000 0.5000 0.8082 Br
```

(7)
Crystalline CoReAg at its relaxed geometry, computed with GGA-PBE.

- Space-group type: P3m1 (156)
- V: 43.9 Å³/f.u.
- Energy: -21.34 eV for the cell shown
- Energy of formation from the pure elements: 8.2 kcal/mol of atoms
- M_tot: 1.1 μB per formula unit

POSCAR file:
```
CoReAg
1.0
2.7271 0.0000 0.0000
-1.3636 2.3618 0.0000
0.0000 0.0000 6.8091
Co Re Ag
1 1 1
Direct
0.0000 0.0000 0.0000 Co
0.3333 0.6667 0.2867 Re
0.6667 0.3333 0.6605 Ag
```

(8)
Crystalline Zr2TaRe at its relaxed geometry, computed with GGA-PBE.

- Space-group type: Cmmm (65)
- V: 76.4 Å³/f.u.
- Energy: -41.20 eV for the cell shown
- Energy of formation from the pure elements: 1.1 kcal/mol of atoms
- M_tot: 0.0 μB per formula unit

POSCAR file:
```
Zr2TaRe
1.0
1.6490 -2.4510 0.0000
1.6490 2.4510 0.0000
0.0000 0.0000 9.4451
Zr Ta Re
2 1 1
Direct
0.0000 0.0000 0.2332 Zr
0.0000 0.0000 0.7668 Zr
0.5000 0.5000 0.5000 Ta
0.5000 0.5000 0.0000 Re
```

(9)
Crystalline ReTcPd2 at its relaxed geometry, computed with GGA-PBE.

- Space-group type: Fm-3m (225)
- V: 60.8 Å³/f.u.
- Energy: -30.77 eV for the cell shown
- Energy of formation from the pure elements: 14.0 kcal/mol of atoms
- M_tot: 0.5 μB per formula unit

POSCAR file:
```
ReTcPd2
1.0
0.0000 3.1205 3.1205
3.1205 0.0000 3.1205
3.1205 3.1205 0.0000
Re Tc Pd
1 1 2
Direct
0.0000 0.0000 0.0000 Re
0.5000 0.5000 0.5000 Tc
0.2500 0.2500 0.2500 Pd
0.7500 0.7500 0.7500 Pd
```

(10)
Crystalline Y2Rh2I at its relaxed geometry, computed with GGA-PBE.

- Formation energy without anion corrections: -661.5 meV per atom
- Space-group type: P4/mbm (127)
- V: 111.5 Å³/f.u.
- Energy: -64.98 eV for the cell shown
- M_tot: 0.0 μB per formula unit

POSCAR file:
```
Y2Rh2I
1.0
7.8204 0.0000 0.0000
0.0000 7.8204 0.0000
0.0000 0.0000 3.6456
Y Rh I
4 4 2
Direct
0.1647 0.3353 0.0000 Y
0.3353 0.8353 0.0000 Y
0.6647 0.1647 0.0000 Y
0.8353 0.6647 0.0000 Y
0.1275 0.6275 0.5000 Rh
0.3725 0.1275 0.5000 Rh
0.6275 0.8725 0.5000 Rh
0.8725 0.3725 0.5000 Rh
0.0000 0.0000 0.5000 I
0.5000 0.5000 0.5000 I
```

(11)
Crystalline Ga2CoPbCl at its relaxed geometry, computed with GGA-PBE.

- Formation energy without anion corrections: -344.5 meV per atom
- Space-group type: P4/mmm (123)
- V: 108.7 Å³/f.u.
- Energy: -20.44 eV for the cell shown
- M_tot: 0.0 μB per formula unit

POSCAR file:
```
Ga2CoPbCl
1.0
4.6360 0.0000 0.0000
0.0000 4.6360 0.0000
0.0000 0.0000 5.0574
Ga Co Pb Cl
2 1 1 1
Direct
0.0000 0.5000 0.0000 Ga
0.5000 0.0000 0.0000 Ga
0.0000 0.0000 0.0000 Co
0.0000 0.0000 0.5000 Pb
0.5000 0.5000 0.5000 Cl
```

(12)
Crystalline CdHgBr2 at its relaxed geometry, computed with GGA-PBE.

- Formation energy without anion corrections: -499.3 meV per atom
- Space-group type: Cmmm (65)
- V: 155.2 Å³/f.u.
- Energy: -6.56 eV for the cell shown
- M_tot: 0.0 μB per formula unit

POSCAR file:
```
CdHgBr2
1.0
1.9619 -3.6883 0.0000
1.9619 3.6883 0.0000
0.0000 0.0000 10.7249
Cd Hg Br
1 1 2
Direct
0.0000 0.0000 0.0000 Cd
0.0000 0.0000 0.5000 Hg
0.5000 0.5000 0.1722 Br
0.5000 0.5000 0.8278 Br
```